# 1
Here is a relaxed Ac2Er2Sn7 crystal from the Alexandria database. Energies are from PBE-GGA.

Output
* formation energy: -2.169 eV per formula unit

Unit cell a=7.891 b=7.891 c=6.160 alpha=90.00 beta=90.00 gamma=96.44
Fractional positions:
Ac1 0.194 0.194 0.000
Ac2 0.806 0.806 0.000
Er1 0.259 0.741 0.500
Er2 0.741 0.259 0.500
Sn1 0.000 0.000 0.500
Sn2 0.000 0.500 0.245
Sn3 0.000 0.500 0.755
Sn4 0.500 0.000 0.245
Sn5 0.500 0.000 0.755
Sn6 0.500 0.500 0.247
Sn7 0.500 0.500 0.753

# 2
Here is a relaxed KMg6Zn crystal from the Alexandria database. Energies are from PBE-GGA.

Output
* formation energy: 1.261 eV per formula unit
* energy above the most stable polymorph in this dataset: 5 meV per atom

Unit cell a=5.305 b=6.724 c=6.724 alpha=58.17 beta=90.00 gamma=90.00
Fractional positions:
K1 0.000 0.000 0.000
Mg1 0.000 0.499 0.994
Mg2 0.000 0.994 0.499
Mg3 0.500 0.168 0.638
Mg4 0.500 0.172 0.172
Mg5 0.500 0.638 0.168
Mg6 0.500 0.649 0.649
Zn1 0.000 0.455 0.455

# 3
Here is a relaxed Tb5PmPr4 crystal from the Alexandria database. Energies are from PBE-GGA.

Output
* formation energy: 1.529 eV per formula unit
* energy above the most stable polymorph in this dataset: 0 meV per atom

Unit cell a=8.822 b=8.822 c=11.158 alpha=95.56 beta=95.56 gamma=23.88
Fractional positions:
Tb1 0.000 0.000 0.000
Tb2 0.204 0.204 0.369
Tb3 0.322 0.322 0.937
Tb4 0.678 0.678 0.063
Tb5 0.796 0.796 0.631
Pm1 0.000 0.000 0.500
Pr1 0.142 0.142 0.766
Pr2 0.459 0.459 0.744
Pr3 0.541 0.541 0.256
Pr4 0.858 0.858 0.234

# 4
Here is a relaxed LaY7Tm12 crystal from the Alexandria database. Energies are from PBE-GGA.

Output
* formation energy: 4.999 eV per formula unit

Unit cell a=8.664 b=8.664 c=8.664 alpha=87.68 beta=87.68 gamma=87.68
Fractional positions:
La1 0.000 0.000 0.000
Y1 0.001 0.367 0.877
Y2 0.123 0.999 0.633
Y3 0.367 0.877 0.001
Y4 0.500 0.500 0.500
Y5 0.633 0.123 0.999
Y6 0.877 0.001 0.367
Y7 0.999 0.633 0.123
Tm1 0.109 0.347 0.437
Tm2 0.235 0.642 0.763
Tm3 0.237 0.765 0.358
Tm4 0.347 0.437 0.109
Tm5 0.358 0.237 0.765
Tm6 0.437 0.109 0.347
Tm7 0.563 0.891 0.653
Tm8 0.642 0.763 0.235
Tm9 0.653 0.563 0.891
Tm10 0.763 0.235 0.642
Tm11 0.765 0.358 0.237
Tm12 0.891 0.653 0.563

# 5
Here is a relaxed RbSi3Sn crystal from the Alexandria database. Energies are from PBE-GGA.

Output
* energy above the most stable polymorph in this dataset: 0 meV per atom
* formation energy without anion corrections: 0.947 eV/atom

Unit cell a=5.364 b=5.364 c=5.364 alpha=90.00 beta=90.00 gamma=90.00
Fractional positions:
Rb1 0.000 0.000 0.000
Si1 0.000 0.500 0.500
Si2 0.500 0.000 0.500
Si3 0.500 0.500 0.000
Sn1 0.500 0.500 0.500

# 6
Here is a relaxed SrBeTe2Se crystal from the Alexandria database. Energies are from PBE-GGA.

Output
* formation energy without anion corrections: 0.742 eV/atom

Unit cell a=6.362 b=6.362 c=5.858 alpha=90.00 beta=90.00 gamma=90.00
Fractional positions:
Sr1 0.000 0.000 0.000
Be1 0.500 0.500 0.500
Te1 0.000 0.500 0.000
Te2 0.500 0.000 0.000
Se1 0.000 0.000 0.500

# 7
Here is a relaxed AcThBi2 crystal from the Alexandria database. Energies are from PBE-GGA.

Output
* formation energy: -2.725 eV per formula unit
* energy above the most stable polymorph in this dataset: 100 meV per atom

Unit cell a=8.745 b=8.745 c=8.745 alpha=30.36 beta=30.36 gamma=30.36
Fractional positions:
Ac1 0.000 0.000 0.000
Th1 0.829 0.829 0.829
Bi1 0.417 0.417 0.417
Bi2 0.577 0.577 0.577

# 8
Here is a relaxed MgSbSe2N crystal from the Alexandria database. Energies are from PBE-GGA.

Output
* energy above the most stable polymorph in this dataset: 35 meV per atom
* formation energy without anion corrections: 0.468 eV/atom

Unit cell a=5.206 b=5.206 c=3.986 alpha=90.00 beta=90.00 gamma=90.00
Fractional positions:
Mg1 0.000 0.000 0.000
Sb1 0.500 0.500 0.500
Se1 0.000 0.500 0.000
Se2 0.500 0.000 0.000
N1 0.000 0.000 0.500